This record from Alexandria via LeMat-Bulk describes a relaxed ReBSb2 crystal. The functional is GGA-PBE.

a = 5.8779 Å, b = 5.8779 Å, c = 6.6672 Å
α = 63.84°, β = 63.84°, γ = 90.00°
Sites, in units of the cell vectors:
B: 0.2500 0.7500 0.5000
B: 0.5000 0.5000 0.0000
Sb: 0.8750 0.8286 0.7500
Sb: 0.5786 0.1250 0.2500
Sb: 0.3750 0.4214 0.7500
Sb: 0.1714 0.6250 0.2500
Re: 0.0000 0.0000 0.0000
Re: 0.7500 0.2500 0.5000

Formation energy without anion corrections, eV/atom: 1.007
Size of the total moment, μB/f.u.: 1.05
Crystal system: tetragonal